The following is a DFT calculation (PBE) of Cs2TeSe after structural relaxation.

- total energy (eV per atom) = -2.8195
- relative energy among the computed polymorphs (eV/atom) = 0.201
- formation energy without anion corrections (meV per atom) = -736

Cell: 9.197 9.197 9.197 Å, 95.75 95.75 143.09°
Element x y z (fractional)
Cs  0.375  0.021  0.146
Cs  0.771  0.625  0.646
Cs  0.875  0.229  0.854
Cs  0.979  0.125  0.354
Te  0.250  0.750  0.500
Te  0.500  0.500  0.000
Se  0.000  0.000  0.000
Se  0.750  0.250  0.500